1.
This record from Alexandria via LeMat-Bulk describes Hg2Te after structural relaxation. The functional is PBEsol.

Results
Distance to the lowest polymorph of the same formula = 7 meV per atom
Space group = Pnnm
Formation energy (no corrections) = 0.000 eV/atom

Lattice parameters (Å, degrees): 5.7321 7.1020 4.5209 90.00 90.00 90.00
With the nearest neighbours (Å) after each atom.
Fractional positions:
Hg 0.1954 0.1182 0.0000  1 Hg 2.80, 3 Te 2.93-2.98
Hg 0.3046 0.6182 0.5000  1 Hg 2.80, 3 Te 2.93-2.98
Hg 0.6954 0.3818 0.5000  1 Hg 2.80, 3 Te 2.93-2.98
Hg 0.8046 0.8818 0.0000  1 Hg 2.80, 3 Te 2.93-2.98
Te 0.0000 0.5000 0.0000  6 Hg 2.93-2.98
Te 0.5000 0.0000 0.5000  6 Hg 2.93-2.98

=====

2.
This record from Alexandria via LeMat-Bulk describes K2AlMo after structural relaxation. The functional is PBEsol.

Results
Formation energy from the elements = 0.82 eV/atom
Space group = Cm

Lattice parameters (Å, degrees): 4.7332 4.7332 9.9287 92.03 92.03 35.04
With the nearest neighbours (Å) after each atom.
Fractional positions:
K 0.0000 0.0000 0.0000  2 K 2.85
K 0.2368 0.2368 0.5776  2 K 2.85
Al 0.7449 0.7449 0.2484  3 Mo 2.56-2.62, 2 Al 2.85
Mo 0.4768 0.4768 0.3236  3 Al 2.56-2.62, 2 Mo 2.85

=====

3.
This record from Alexandria via LeMat-Bulk describes Th3Pd4 after structural relaxation. The functional is PBEsol.

Results
Formation energy from the elements = -0.79 eV/atom
Space group = R-3

Lattice parameters (Å, degrees): 8.0990 8.0990 8.0990 114.63 114.63 114.63
With the nearest neighbours (Å) after each atom.
Fractional positions:
Th 0.0285 0.4062 0.2808  7 Pd 2.86-3.18
Th 0.2808 0.0285 0.4062  7 Pd 2.86-3.18
Th 0.4062 0.2808 0.0285  7 Pd 2.86-3.18
Th 0.5938 0.7192 0.9715  7 Pd 2.86-3.18
Th 0.7192 0.9715 0.5938  7 Pd 2.86-3.18
Th 0.9715 0.5938 0.7192  7 Pd 2.86-3.18
Pd 0.0000 0.0000 0.0000  2 Pd 2.86, 6 Th 2.96
Pd 0.0615 0.2247 0.5639  5 Th 2.86-3.18, 3 Pd 2.88-2.97
Pd 0.2247 0.5639 0.0615  5 Th 2.86-3.18, 3 Pd 2.88-2.97
Pd 0.4361 0.9385 0.7753  5 Th 2.86-3.18, 3 Pd 2.88-2.97
Pd 0.5000 0.5000 0.5000  2 Pd 2.86, 6 Th 3.02
Pd 0.5639 0.0615 0.2247  5 Th 2.86-3.18, 3 Pd 2.88-2.97
Pd 0.7753 0.4361 0.9385  5 Th 2.86-3.18, 3 Pd 2.88-2.97
Pd 0.9385 0.7753 0.4361  5 Th 2.86-3.18, 3 Pd 2.88-2.97

=====

Number 1: calculated volume 184 Å³ per cell, VASP energy -1.553 eV per atom, size of the total moment 0.00 μB/cell. Number 2: calculated volume 128 Å³ per cell, VASP energy -3.708 eV per atom, size of the total moment 0.80 μB/cell. Number 3: calculated volume 307 Å³ per cell, VASP energy -7.668 eV per atom, size of the total moment 0.00 μB/cell.